No. 1
Compound: Y4PIr
Source: Alexandria via LeMat-Bulk
Functional: PBE
Structure: optimized geometry

Geometry as extended XYZ:
```
6
Lattice="0.000 4.187 4.187 4.187 0.000 4.187 4.187 4.187 0.000" Properties=species:S:1:pos:R:3 pbc="T T T"
Y 1.041 1.041 1.041
Y 3.146 3.146 1.041
Y 3.146 1.041 3.146
Y 1.041 3.146 3.146
P 4.187 4.187 4.187
Ir 6.281 6.281 6.281
```

Calculated values
Total magnetization in μB per cell: 0.802
Mass density in Mg/m³: 6.55

No. 2
Compound: YPIr
Source: Alexandria via LeMat-Bulk
Functional: PBE
Structure: optimized geometry

Geometry as extended XYZ:
```
6
Lattice="5.031 -2.068 0.000 5.031 2.068 0.000 -1.148 0.000 5.590" Properties=species:S:1:pos:R:3 pbc="T T T"
Y 0.848 0.000 1.606
Y 8.066 0.000 3.984
P 1.056 0.000 4.421
P 7.859 0.000 1.169
Ir 3.796 0.000 0.688
Ir 5.119 0.000 4.902
```

Calculated values
Total magnetization in μB per cell: 0.000
Mass density in Mg/m³: 8.91

No. 3
Compound: Y3PIr
Source: Alexandria via LeMat-Bulk
Functional: PBE
Structure: optimized geometry

Geometry as extended XYZ:
```
5
Lattice="5.320 0.000 0.000 0.000 5.320 0.000 0.000 0.000 5.320" Properties=species:S:1:pos:R:3 pbc="T T T"
Y 0.000 0.000 2.660
Y 0.000 2.660 0.000
Y 2.660 0.000 0.000
P 2.660 2.660 2.660
Ir 0.000 0.000 0.000
```

Calculated values
Excess energy over the best structure of this formula in the dataset in meV per atom: 0
Total magnetization in μB per cell: 0.000
Mass density in Mg/m³: 5.40

No. 4
Compound: YPIr
Source: Alexandria via LeMat-Bulk
Functional: PBE
Structure: optimized geometry

Geometry as extended XYZ:
```
3
Lattice="0.000 3.217 3.217 3.217 0.000 3.217 3.217 3.217 0.000" Properties=species:S:1:pos:R:3 pbc="T T T"
Y 0.000 0.000 0.000
P 4.825 4.825 4.825
Ir 1.608 1.608 1.608
```

Calculated values
Total magnetization in μB per cell: 0.000
Mass density in Mg/m³: 7.79

No. 5
Compound: YP2Ir
Source: Alexandria via LeMat-Bulk
Functional: PBE
Structure: optimized geometry

Geometry as extended XYZ:
```
4
Lattice="3.520 0.000 0.000 0.000 3.532 0.000 0.000 0.000 5.728" Properties=species:S:1:pos:R:3 pbc="T T T"
Y 0.000 0.000 0.000
P 0.000 0.000 2.825
P 1.760 1.766 4.595
Ir 1.760 1.766 2.204
```

Calculated values
Excess energy over the best structure of this formula in the dataset in meV per atom: 504
Total magnetization in μB per cell: 0.000
Mass density in Mg/m³: 8.00

No. 6
Compound: Y2PIr8
Source: Alexandria via LeMat-Bulk
Functional: PBE
Structure: optimized geometry

Geometry as extended XYZ:
```
11
Lattice="4.030 0.000 0.000 0.000 4.030 0.000 0.000 0.000 10.988" Properties=species:S:1:pos:R:3 pbc="T T T"
Y 0.000 0.000 1.979
Y 0.000 0.000 9.009
P 0.000 0.000 5.494
Ir 0.000 2.015 0.000
Ir 0.000 2.015 4.130
Ir 0.000 2.015 6.858
Ir 2.015 0.000 0.000
Ir 2.015 0.000 4.130
Ir 2.015 0.000 6.858
Ir 2.015 2.015 2.107
Ir 2.015 2.015 8.881
```

Calculated values
Total magnetization in μB per cell: 0.000
Mass density in Mg/m³: 16.25

No. 7
Compound: YPIr
Source: Alexandria via LeMat-Bulk
Functional: PBE
Structure: optimized geometry

Geometry as extended XYZ:
```
3
Lattice="-1.626 1.626 5.144 1.626 -1.626 5.144 1.626 1.626 -5.144" Properties=species:S:1:pos:R:3 pbc="T T T"
Y 0.000 0.000 0.000
P 0.000 0.000 7.251
Ir 0.000 0.000 3.061
```

Calculated values
Total magnetization in μB per cell: 0.000
Mass density in Mg/m³: 9.53

No. 8
Compound: YP4Ir
Source: Alexandria via LeMat-Bulk
Functional: PBE
Structure: optimized geometry

Geometry as extended XYZ:
```
6
Lattice="0.000 3.644 3.644 3.644 0.000 3.644 3.644 3.644 0.000" Properties=species:S:1:pos:R:3 pbc="T T T"
Y 0.000 0.000 0.000
P 2.767 2.767 2.767
P 4.520 4.520 2.767
P 4.520 2.767 4.520
P 2.767 4.520 4.520
Ir 5.465 5.465 5.465
```

Calculated values
Total magnetization in μB per cell: 0.000
Mass density in Mg/m³: 6.95

No. 9
Compound: YPIr3
Source: Alexandria via LeMat-Bulk
Functional: PBE
Structure: optimized geometry

Geometry as extended XYZ:
```
5
Lattice="4.963 0.000 0.000 0.000 4.963 0.000 0.000 0.000 4.963" Properties=species:S:1:pos:R:3 pbc="T T T"
Y 0.000 0.000 0.000
P 2.481 2.481 2.481
Ir 0.000 0.000 2.481
Ir 0.000 2.481 0.000
Ir 2.481 0.000 0.000
```

Calculated values
Excess energy over the best structure of this formula in the dataset in meV per atom: 3128
Total magnetization in μB per cell: 1.366
Mass density in Mg/m³: 9.46

No. 10
Compound: Y2PIr
Source: Alexandria via LeMat-Bulk
Functional: PBE
Structure: optimized geometry

Geometry as extended XYZ:
```
4
Lattice="2.050 1.184 6.797 -2.050 1.184 6.797 0.000 -2.367 6.797" Properties=species:S:1:pos:R:3 pbc="T T T"
Y 0.000 0.000 0.000
Y 0.000 0.000 3.597
P 0.000 0.000 8.442
Ir 0.000 0.000 15.523
```

Calculated values
Total magnetization in μB per cell: 0.000
Mass density in Mg/m³: 6.73

No. 11
Compound: YP3Ir5
Source: Alexandria via LeMat-Bulk
Functional: PBE
Structure: optimized geometry

Geometry as extended XYZ:
```
18
Lattice="1.958 -6.064 0.000 1.958 6.064 0.000 0.000 0.000 12.294" Properties=species:S:1:pos:R:3 pbc="T T T"
Y 1.958 4.276 9.221
Y 1.958 -4.276 3.074
P 1.958 4.594 3.074
P 1.958 1.286 0.640
P 1.958 1.286 5.507
P 1.958 -1.286 6.787
P 1.958 -1.286 11.654
P 1.958 -4.594 9.221
Ir 0.000 0.000 0.000
Ir 0.000 0.000 6.147
Ir 1.958 3.453 1.000
Ir 1.958 3.453 5.147
Ir 1.958 0.786 7.869
Ir 1.958 0.786 10.573
Ir 1.958 -0.786 1.722
Ir 1.958 -0.786 4.426
Ir 1.958 -3.453 7.147
Ir 1.958 -3.453 11.294
```

Calculated values
Total magnetization in μB per cell: 0.000
Mass density in Mg/m³: 13.00

No. 12
Compound: YPIr3
Source: Alexandria via LeMat-Bulk
Functional: PBE
Structure: optimized geometry

Geometry as extended XYZ:
```
5
Lattice="4.489 0.000 0.000 0.000 4.489 0.000 0.000 0.000 4.489" Properties=species:S:1:pos:R:3 pbc="T T T"
Y 0.000 0.000 0.000
P 2.244 2.244 2.244
Ir 0.000 2.244 2.244
Ir 2.244 0.000 2.244
Ir 2.244 2.244 0.000
```

Calculated values
Excess energy over the best structure of this formula in the dataset in meV per atom: 516
Total magnetization in μB per cell: 0.000
Mass density in Mg/m³: 12.79

No. 13
Compound: YPIr4
Source: Alexandria via LeMat-Bulk
Functional: PBE
Structure: optimized geometry

Geometry as extended XYZ:
```
6
Lattice="0.000 3.731 3.731 3.731 0.000 3.731 3.731 3.731 0.000" Properties=species:S:1:pos:R:3 pbc="T T T"
Y 0.000 0.000 0.000
P 5.597 5.597 5.597
Ir 2.802 2.802 2.802
Ir 4.661 4.661 2.802
Ir 4.661 2.802 4.661
Ir 2.802 4.661 4.661
```

Calculated values
Total magnetization in μB per cell: 0.000
Mass density in Mg/m³: 14.20

No. 14
Compound: YP2Ir
Source: Alexandria via LeMat-Bulk
Functional: PBE
Structure: optimized geometry

Geometry as extended XYZ:
```
4
Lattice="0.000 3.224 3.224 3.224 0.000 3.224 3.224 3.224 0.000" Properties=species:S:1:pos:R:3 pbc="T T T"
Y 0.000 0.000 0.000
P 1.612 1.612 1.612
P 4.836 4.836 4.836
Ir 3.224 3.224 3.224
```

Calculated values
Excess energy over the best structure of this formula in the dataset in meV per atom: 619
Total magnetization in μB per cell: 0.000
Mass density in Mg/m³: 8.50

No. 15
Compound: YP2Ir
Source: Alexandria via LeMat-Bulk
Functional: PBE
Structure: optimized geometry

Geometry as extended XYZ:
```
4
Lattice="-1.729 1.789 5.736 1.729 -1.789 5.736 1.729 1.789 -5.736" Properties=species:S:1:pos:R:3 pbc="T T T"
Y 0.000 0.000 0.000
P 0.000 0.000 4.524
P 0.000 1.789 2.147
Ir 1.729 0.000 2.911
```

Calculated values
Excess energy over the best structure of this formula in the dataset in meV per atom: 296
Total magnetization in μB per cell: 0.000
Mass density in Mg/m³: 8.03

No. 16
Compound: YPIr
Source: Alexandria via LeMat-Bulk
Functional: PBE
Structure: optimized geometry

Geometry as extended XYZ:
```
3
Lattice="0.000 3.073 3.073 3.073 0.000 3.073 3.073 3.073 0.000" Properties=species:S:1:pos:R:3 pbc="T T T"
Y 0.000 0.000 0.000
P 4.609 4.609 4.609
Ir 3.073 3.073 3.073
```

Calculated values
Total magnetization in μB per cell: 0.000
Mass density in Mg/m³: 8.93

No. 17
Compound: Y2PIr2
Source: Alexandria via LeMat-Bulk
Functional: PBE
Structure: optimized geometry

Geometry as extended XYZ:
```
10
Lattice="6.673 0.000 0.000 0.000 6.673 0.000 0.000 0.000 4.391" Properties=species:S:1:pos:R:3 pbc="T T T"
Y 1.145 2.191 0.000
Y 2.191 5.527 0.000
Y 4.482 1.145 0.000
Y 5.527 4.482 0.000
P 0.000 0.000 2.195
P 3.336 3.336 2.195
Ir 0.958 4.295 2.195
Ir 2.378 0.958 2.195
Ir 4.295 5.714 2.195
Ir 5.714 2.378 2.195
```

Calculated values
Total magnetization in μB per cell: 0.000
Mass density in Mg/m³: 10.08

No. 18
Compound: YP2Ir
Source: Alexandria via LeMat-Bulk
Functional: PBE
Structure: optimized geometry

Geometry as extended XYZ:
```
4
Lattice="0.000 3.279 3.279 3.279 0.000 3.279 3.279 3.279 0.000" Properties=species:S:1:pos:R:3 pbc="T T T"
Y 0.000 0.000 0.000
P 1.640 1.640 1.640
P 3.279 3.279 3.279
Ir 4.919 4.919 4.919
```

Calculated values
Excess energy over the best structure of this formula in the dataset in meV per atom: 947
Total magnetization in μB per cell: 0.000
Mass density in Mg/m³: 8.08

No. 19
Compound: Y2PIr
Source: Alexandria via LeMat-Bulk
Functional: PBE
Structure: optimized geometry

Geometry as extended XYZ:
```
4
Lattice="4.165 0.000 0.000 0.000 1.936 5.271 0.000 -1.936 5.271" Properties=species:S:1:pos:R:3 pbc="T T T"
Y 0.000 0.000 0.000
Y 2.082 0.000 2.943
P 0.000 0.000 7.558
Ir 2.082 0.000 5.890
```

Calculated values
Total magnetization in μB per cell: 0.000
Mass density in Mg/m³: 7.83

No. 20
Compound: Y2PIr
Source: Alexandria via LeMat-Bulk
Functional: PBE
Structure: optimized geometry

Geometry as extended XYZ:
```
8
Lattice="-3.612 3.612 3.782 3.612 -3.612 3.782 3.612 3.612 -3.782" Properties=species:S:1:pos:R:3 pbc="T T T"
Y 5.418 1.805 -0.945
Y 1.805 1.806 0.945
Y -1.806 1.807 2.836
Y 1.807 1.806 4.727
P 0.000 0.000 0.000
P 0.000 3.612 1.891
Ir 3.612 0.000 1.891
Ir 0.000 0.000 3.782
```

Calculated values
Total magnetization in μB per cell: 0.000
Mass density in Mg/m³: 6.75

| no. | E_form (meV per atom) |
| --- | --- |
| 1 | 622 |
| 2 | -986 |
| 3 | -250 |
| 4 | 57 |
| 5 | -492 |
| 6 | -322 |
| 7 | -554 |
| 8 | 200 |
| 9 | 2345 |
| 10 | -881 |
| 11 | -563 |
| 12 | -266 |
| 13 | -29 |
| 14 | -376 |
| 15 | -700 |
| 16 | -638 |
| 17 | -584 |
| 18 | -48 |
| 19 | -1123 |
| 20 | -544 |